(1)
Computed, not measured: Li2Nd2Rh15 after structural relaxation at the PBE level of DFT.

Cell: 6.8046 6.8046 6.8046 Å, 83.30 83.30 83.30°
Fractional coordinates of all 19 atoms:
1 Li 0.0976 0.0976 0.0976
2 Li 0.9024 0.9024 0.9024
3 Nd 0.3433 0.3433 0.3433
4 Nd 0.6567 0.6567 0.6567
5 Rh 0.0000 0.0000 0.5000
6 Rh 0.0000 0.2986 0.7014
7 Rh 0.0000 0.5000 0.0000
8 Rh 0.0000 0.7014 0.2986
9 Rh 0.1512 0.6503 0.6503
10 Rh 0.2986 0.0000 0.7014
11 Rh 0.2986 0.7014 0.0000
12 Rh 0.3497 0.3497 0.8488
13 Rh 0.3497 0.8488 0.3497
14 Rh 0.5000 0.0000 0.0000
15 Rh 0.6503 0.1512 0.6503
16 Rh 0.6503 0.6503 0.1512
17 Rh 0.7014 0.0000 0.2986
18 Rh 0.7014 0.2986 0.0000
19 Rh 0.8488 0.3497 0.3497

Calculated values
- energy relative to the elements (eV per atom) = -0.22
- SG = R-3m

(2)
Computed, not measured: Li3Nd12Rh5 after structural relaxation at the PBE level of DFT.

Cell: 15.1596 15.1596 15.1596 Å, 109.47 109.47 109.47°
Fractional coordinates of all 80 atoms:
1 Li 0.1250 0.2500 0.3750
2 Li 0.1250 0.3750 0.7500
3 Li 0.2500 0.3750 0.1250
4 Li 0.2500 0.8750 0.6250
5 Li 0.3750 0.1250 0.2500
6 Li 0.3750 0.7500 0.1250
7 Li 0.6250 0.2500 0.8750
8 Li 0.6250 0.8750 0.7500
9 Li 0.7500 0.1250 0.3750
10 Li 0.7500 0.6250 0.8750
11 Li 0.8750 0.6250 0.2500
12 Li 0.8750 0.7500 0.6250
13 Nd 0.0298 0.2064 0.1155
14 Nd 0.0298 0.3234 0.9143
15 Nd 0.0857 0.6155 0.4091
16 Nd 0.0857 0.9702 0.6766
17 Nd 0.0909 0.7064 0.6766
18 Nd 0.0909 0.8845 0.4143
19 Nd 0.1155 0.0298 0.2064
20 Nd 0.1155 0.5857 0.9091
21 Nd 0.1766 0.2064 0.5909
22 Nd 0.1766 0.4702 0.5857
23 Nd 0.2064 0.1155 0.0298
24 Nd 0.2064 0.5909 0.1766
25 Nd 0.2936 0.3234 0.9091
26 Nd 0.2936 0.4702 0.3845
27 Nd 0.3234 0.9091 0.2936
28 Nd 0.3234 0.9143 0.0298
29 Nd 0.3845 0.2936 0.4702
30 Nd 0.3845 0.5909 0.9143
31 Nd 0.4091 0.0857 0.6155
32 Nd 0.4091 0.8234 0.7936
33 Nd 0.4143 0.0909 0.8845
34 Nd 0.4143 0.8234 0.5298
35 Nd 0.4702 0.3845 0.2936
36 Nd 0.4702 0.5857 0.1766
37 Nd 0.5298 0.4143 0.8234
38 Nd 0.5298 0.6155 0.7064
39 Nd 0.5857 0.1766 0.4702
40 Nd 0.5857 0.9091 0.1155
41 Nd 0.5909 0.1766 0.2064
42 Nd 0.5909 0.9143 0.3845
43 Nd 0.6155 0.4091 0.0857
44 Nd 0.6155 0.7064 0.5298
45 Nd 0.6766 0.0857 0.9702
46 Nd 0.6766 0.0909 0.7064
47 Nd 0.7064 0.5298 0.6155
48 Nd 0.7064 0.6766 0.0909
49 Nd 0.7936 0.4091 0.8234
50 Nd 0.7936 0.8845 0.9702
51 Nd 0.8234 0.5298 0.4143
52 Nd 0.8234 0.7936 0.4091
53 Nd 0.8845 0.4143 0.0909
54 Nd 0.8845 0.9702 0.7936
55 Nd 0.9091 0.1155 0.5857
56 Nd 0.9091 0.2936 0.3234
57 Nd 0.9143 0.0298 0.3234
58 Nd 0.9143 0.3845 0.5909
59 Nd 0.9702 0.6766 0.0857
60 Nd 0.9702 0.7936 0.8845
61 Rh 0.0000 0.0000 0.0000
62 Rh 0.0000 0.0000 0.5000
63 Rh 0.0000 0.5000 0.0000
64 Rh 0.0000 0.5000 0.5000
65 Rh 0.1250 0.7500 0.8750
66 Rh 0.1250 0.8750 0.2500
67 Rh 0.2500 0.1250 0.8750
68 Rh 0.2500 0.6250 0.3750
69 Rh 0.3750 0.2500 0.6250
70 Rh 0.3750 0.6250 0.7500
71 Rh 0.5000 0.0000 0.0000
72 Rh 0.5000 0.0000 0.5000
73 Rh 0.5000 0.5000 0.0000
74 Rh 0.5000 0.5000 0.5000
75 Rh 0.6250 0.3750 0.2500
76 Rh 0.6250 0.7500 0.3750
77 Rh 0.7500 0.3750 0.6250
78 Rh 0.7500 0.8750 0.1250
79 Rh 0.8750 0.1250 0.7500
80 Rh 0.8750 0.2500 0.1250

Calculated values
- energy relative to the elements (eV per atom) = 0.01
- SG = Ia-3d

(3)
Computed, not measured: LiNdRh after structural relaxation at the PBE level of DFT.

Cell: 7.2010 7.2010 4.0910 Å, 90.00 90.00 120.00°
Fractional coordinates of all 9 atoms:
1 Li 0.0000 0.2327 0.0000
2 Li 0.2327 0.0000 0.0000
3 Li 0.7673 0.7673 0.0000
4 Nd 0.0000 0.5915 0.5000
5 Nd 0.4085 0.4085 0.5000
6 Nd 0.5915 0.0000 0.5000
7 Rh 0.0000 0.0000 0.5000
8 Rh 0.3333 0.6667 0.0000
9 Rh 0.6667 0.3333 0.0000

Calculated values
- energy relative to the elements (eV per atom) = -0.45
- offset from the most stable computed form (meV per atom) = 0
- SG = P-62m

Among the records above, which one has the lowest energy relative to the elements? LiNdRh

Among the records above, which one has the lowest energy relative to the elements? LiNdRh

Look up the energy relative to the elements of the second one. 0.01 eV per atom

What is the formula in the second record? Li3Nd12Rh5